{"formula": "CaZrSn3", "functional": "PBE", "state": "relaxed", "lattice_angstrom": [[5.5401, 0.0000, 0.0000], [0.0000, 5.5401, 0.0000], [0.0000, 0.0000, 5.5401]], "species": ["Ca", "Zr", "Sn", "Sn", "Sn"], "fractional_positions": [[0.0000, 0.0000, 0.0000], [0.5000, 0.5000, 0.5000], [0.0000, 0.5000, 0.5000], [0.5000, 0.0000, 0.5000], [0.5000, 0.5000, 0.0000]], "energy_ev_per_cell": -22.81, "dos_ef_per_ev_atom": 0.47, "polymorph_energy_mev_per_atom": 0}



{"formula": "CaZr2Sn2", "functional": "PBE", "state": "relaxed", "lattice_angstrom": [[8.0244, 0.0000, 0.0000], [0.0000, 8.0244, 0.0000], [0.0000, 0.0000, 3.8771]], "species": ["Ca", "Ca", "Zr", "Zr", "Zr", "Zr", "Sn", "Sn", "Sn", "Sn"], "fractional_positions": [[0.0000, 0.0000, 0.0000], [0.5000, 0.5000, 0.0000], [0.1585, 0.3415, 0.5000], [0.3415, 0.8415, 0.5000], [0.6585, 0.1585, 0.5000], [0.8415, 0.6585, 0.5000], [0.1380, 0.6380, 0.0000], [0.3620, 0.1380, 0.0000], [0.6380, 0.8620, 0.0000], [0.8620, 0.3620, 0.0000]], "energy_ev_per_cell": -58.12, "dos_ef_per_ev_atom": 1.15, "polymorph_energy_mev_per_atom": 0}



{"formula": "Ca2ZrSn", "functional": "PBE", "state": "relaxed", "lattice_angstrom": [[-4.3959, 4.3959, 3.1161], [4.3959, -4.3959, 3.1161], [4.3959, 4.3959, -3.1161]], "species": ["Ca", "Ca", "Ca", "Ca", "Zr", "Zr", "Sn", "Sn"], "fractional_positions": [[0.1035, 0.6250, 0.9785], [0.3750, 0.3535, 0.4785], [0.6465, 0.1250, 0.0215], [0.8750, 0.8965, 0.5215], [0.2500, 0.7500, 0.5000], [0.5000, 0.5000, 0.0000], [0.0000, 0.0000, 0.0000], [0.7500, 0.2500, 0.5000]], "energy_ev_per_cell": -31.16, "dos_ef_per_ev_atom": 0.75, "polymorph_energy_mev_per_atom": 189}



{"formula": "Ca2ZrSn", "functional": "PBE", "state": "relaxed", "lattice_angstrom": [[0.0000, 3.8409, 3.8409], [3.8409, 0.0000, 3.8409], [3.8409, 3.8409, 0.0000]], "species": ["Ca", "Ca", "Zr", "Sn"], "fractional_positions": [[0.2500, 0.2500, 0.2500], [0.7500, 0.7500, 0.7500], [0.0000, 0.0000, 0.0000], [0.5000, 0.5000, 0.5000]], "energy_ev_per_cell": -16.33, "dos_ef_per_ev_atom": 0.80, "polymorph_energy_mev_per_atom": 0}



{"formula": "CaZr2Sn2", "functional": "PBE", "state": "relaxed", "lattice_angstrom": [[8.7821, 0.0000, 0.0000], [0.0000, 8.7821, 0.0000], [0.0000, 0.0000, 3.2571]], "species": ["Ca", "Ca", "Zr", "Zr", "Zr", "Zr", "Sn", "Sn", "Sn", "Sn"], "fractional_positions": [[0.0000, 0.0000, 0.0000], [0.5000, 0.5000, 0.0000], [0.1195, 0.3805, 0.0000], [0.3805, 0.8805, 0.0000], [0.6195, 0.1195, 0.0000], [0.8805, 0.6195, 0.0000], [0.1748, 0.6748, 0.5000], [0.3252, 0.1748, 0.5000], [0.6748, 0.8252, 0.5000], [0.8252, 0.3252, 0.5000]], "energy_ev_per_cell": -57.48, "dos_ef_per_ev_atom": 0.99, "polymorph_energy_mev_per_atom": 64}



{"formula": "CaZr2Sn2", "functional": "PBE", "state": "relaxed", "lattice_angstrom": [[-2.3391, 2.3391, 6.4847], [2.3391, -2.3391, 6.4847], [2.3391, 2.3391, -6.4847]], "species": ["Ca", "Zr", "Zr", "Sn", "Sn"], "fractional_positions": [[0.0000, 0.0000, 0.0000], [0.3911, 0.3911, 0.0000], [0.6089, 0.6089, 0.0000], [0.2500, 0.7500, 0.5000], [0.7500, 0.2500, 0.5000]], "energy_ev_per_cell": -26.71, "dos_ef_per_ev_atom": 0.85, "polymorph_energy_mev_per_atom": 471}



{"formula": "CaZr3Sn", "functional": "PBE", "state": "relaxed", "lattice_angstrom": [[5.4204, 0.0000, 0.0000], [0.0000, 5.4204, 0.0000], [0.0000, 0.0000, 5.4204]], "species": ["Ca", "Zr", "Zr", "Zr", "Sn"], "fractional_positions": [[0.0000, 0.0000, 0.0000], [0.0000, 0.5000, 0.5000], [0.5000, 0.0000, 0.5000], [0.5000, 0.5000, 0.0000], [0.5000, 0.5000, 0.5000]], "energy_ev_per_cell": -28.48, "dos_ef_per_ev_atom": 1.47, "polymorph_energy_mev_per_atom": 0}



{"formula": "SrCa", "functional": "PBE", "state": "relaxed", "lattice_angstrom": [[13.3417, 0.0000, 0.0000], [0.0000, 4.0963, 0.0000], [0.0000, 0.0000, 7.0420]], "species": ["Sr", "Sr", "Sr", "Sr", "Ca", "Ca", "Ca", "Ca"], "fractional_positions": [[0.2503, 0.2500, 0.0863], [0.2497, 0.7500, 0.5863], [0.7503, 0.2500, 0.4137], [0.7497, 0.7500, 0.9137], [0.9999, 0.2500, 0.7504], [0.0001, 0.7500, 0.2496], [0.4999, 0.2500, 0.7496], [0.5001, 0.7500, 0.2504]], "energy_ev_per_cell": -14.53, "dos_ef_per_ev_atom": 1.42, "polymorph_energy_mev_per_atom": 12}



{"formula": "Sr5Ca2", "functional": "PBE", "state": "relaxed", "lattice_angstrom": [[6.5747, -2.9451, 0.0000], [6.5747, 2.9451, 0.0000], [-1.3400, 0.0000, 9.1925]], "species": ["Sr", "Sr", "Sr", "Sr", "Sr", "Ca", "Ca"], "fractional_positions": [[0.0000, 0.0000, 0.0000], [0.1406, 0.1406, 0.4293], [0.2862, 0.2862, 0.8572], [0.7138, 0.7138, 0.1428], [0.8594, 0.8594, 0.5707], [0.4284, 0.4284, 0.2899], [0.5716, 0.5716, 0.7101]], "energy_ev_per_cell": -12.32, "dos_ef_per_ev_atom": 1.32, "polymorph_energy_mev_per_atom": 0}



{"formula": "Sr2Ca", "functional": "PBE", "state": "relaxed", "lattice_angstrom": [[0.0000, 5.4072, 5.4072], [5.4072, 0.0000, 5.4072], [5.4072, 5.4072, 0.0000]], "species": ["Sr", "Sr", "Sr", "Sr", "Ca", "Ca"], "fractional_positions": [[0.0000, 0.0000, 0.0000], [0.0000, 0.0000, 0.5000], [0.0000, 0.5000, 0.0000], [0.5000, 0.0000, 0.0000], [0.3750, 0.3750, 0.3750], [0.6250, 0.6250, 0.6250]], "energy_ev_per_cell": -9.76, "dos_ef_per_ev_atom": 1.29, "polymorph_energy_mev_per_atom": 149}



{"formula": "Sr11Ca3", "functional": "PBE", "state": "relaxed", "lattice_angstrom": [[-2.0792, 8.9544, 10.0220], [2.0792, -8.9544, 10.0220], [2.0792, 8.9544, -10.0220]], "species": ["Sr", "Sr", "Sr", "Sr", "Sr", "Sr", "Sr", "Sr", "Sr", "Sr", "Sr", "Ca", "Ca", "Ca"], "fractional_positions": [[0.0000, 0.0000, 0.0000], [0.0157, 0.8268, 0.1889], [0.2225, 0.5000, 0.7225], [0.2490, 0.3585, 0.8906], [0.3621, 0.1732, 0.1889], [0.4679, 0.3585, 0.1094], [0.5321, 0.6415, 0.8906], [0.6379, 0.8268, 0.8111], [0.7510, 0.6415, 0.1094], [0.7775, 0.5000, 0.2775], [0.9843, 0.1732, 0.8111], [0.1992, 0.6992, 0.5000], [0.5000, 0.0000, 0.5000], [0.8008, 0.3008, 0.5000]], "energy_ev_per_cell": -23.42, "dos_ef_per_ev_atom": 1.47}



{"formula": "Sr4Ca11", "functional": "PBE", "state": "relaxed", "lattice_angstrom": [[13.7633, 0.0000, 0.0000], [0.0000, 13.7633, 0.0000], [0.0000, 0.0000, 7.2370]], "species": ["Sr", "Sr", "Sr", "Sr", "Sr", "Sr", "Sr", "Sr", "Ca", "Ca", "Ca", "Ca", "Ca", "Ca", "Ca", "Ca", "Ca", "Ca", "Ca", "Ca", "Ca", "Ca", "Ca", "Ca", "Ca", "Ca", "Ca", "Ca", "Ca", "Ca"], "fractional_positions": [[0.0406, 0.3645, 0.0000], [0.1355, 0.5406, 0.5000], [0.3645, 0.0406, 0.0000], [0.4594, 0.8645, 0.5000], [0.5406, 0.1355, 0.5000], [0.6355, 0.9594, 0.0000], [0.8645, 0.4594, 0.5000], [0.9594, 0.6355, 0.0000], [0.0000, 0.0000, 0.5000], [0.0696, 0.2570, 0.5000], [0.0959, 0.0959, 0.0000], [0.1782, 0.8218, 0.2483], [0.1782, 0.8218, 0.7517], [0.2430, 0.5696, 0.0000], [0.2570, 0.0696, 0.5000], [0.3218, 0.3218, 0.2517], [0.3218, 0.3218, 0.7483], [0.4041, 0.5959, 0.5000], [0.4304, 0.7570, 0.0000], [0.5000, 0.5000, 0.0000], [0.5696, 0.2430, 0.0000], [0.5959, 0.4041, 0.5000], [0.6782, 0.6782, 0.2517], [0.6782, 0.6782, 0.7483], [0.7430, 0.9304, 0.5000], [0.7570, 0.4304, 0.0000], [0.8218, 0.1782, 0.2483], [0.8218, 0.1782, 0.7517], [0.9041, 0.9041, 0.0000], [0.9304, 0.7430, 0.5000]], "energy_ev_per_cell": -56.41, "dos_ef_per_ev_atom": 1.18}